DFT (PBE-GGA) results for a geometry-optimized MgBe5 structure.

a = 5.3534 Å, b = 5.3534 Å, c = 3.5019 Å
α = 90.00°, β = 90.00°, γ = 142.40°
Last column: nearest neighbours and their distance in Å.
Atoms (fractional coordinates):
Mg1 0.5000 0.5000 0.0000  12 Be 2.46-2.55
Be1 0.6805 0.3195 0.5000  8 Be 2.21-2.46
Be2 0.1857 0.8143 0.0000  4 Be 2.16-2.21
Be3 0.3195 0.6805 0.5000  8 Be 2.21-2.46
Be4 0.8143 0.1857 0.0000  4 Be 2.16-2.21
Be5 0.0000 0.0000 0.5000  4 Mg 2.46, 8 Be 2.52-2.57

Calculated values
Crystal system: orthorhombic
E_form, meV/atom: 312
E above lowest polymorph, eV/atom: 0.256
Spin magnetization, μB/cell: 0.00
SG: Cmmm (65)
Theoretical density, g/cm3: 1.88